(1)
An optimized crystal structure of LiBiN2O, computed with PBE.

- energy (eV for the cell shown) = -22.98
- crystal system = tetragonal
- formation energy from raw total energies (meV/atom) = 884
- total moment (μB/cell) = 2.27

Structure (CIF):
```
data_LiBiN2O
_chemical_formula_sum 'Li1 Bi1 N2 O1'
_cell_length_a 4.397
_cell_length_b 4.397
_cell_length_c 4.297
_cell_angle_alpha 90.00
_cell_angle_beta 90.00
_cell_angle_gamma 90.00
_space_group_name_H-M_alt 'P 4/m m m'
_space_group_IT_number 123
_space_group_name_Hall '-P 4 2'
loop_
_atom_site_label
_atom_site_type_symbol
_atom_site_fract_x
_atom_site_fract_y
_atom_site_fract_z
_atom_site_occupancy
Li1 Li 0.000 0.000 0.000 1
Bi1 Bi 0.500 0.500 0.500 1
N1 N 0.000 0.500 0.500 1
O1 O 0.500 0.500 0.000 1
```


(2)
An optimized crystal structure of LiBiN2O, computed with PBE.

- energy (eV for the cell shown) = -22.80
- crystal system = tetragonal
- formation energy from raw total energies (meV/atom) = 920
- total moment (μB/cell) = 3.99

Structure (CIF):
```
data_LiBiN2O
_chemical_formula_sum 'Li1 Bi1 N2 O1'
_cell_length_a 3.945
_cell_length_b 3.945
_cell_length_c 3.753
_cell_angle_alpha 90.00
_cell_angle_beta 90.00
_cell_angle_gamma 90.00
_space_group_name_H-M_alt 'P 4/m m m'
_space_group_IT_number 123
_space_group_name_Hall '-P 4 2'
loop_
_atom_site_label
_atom_site_type_symbol
_atom_site_fract_x
_atom_site_fract_y
_atom_site_fract_z
_atom_site_occupancy
Li1 Li 0.000 0.000 0.000 1
Bi1 Bi 0.500 0.500 0.500 1
N1 N 0.000 0.500 0.000 1
O1 O 0.000 0.000 0.500 1
```


(3)
An optimized crystal structure of LiPaBi2N, computed with PBE.

- energy (eV for the cell shown) = -62.56
- crystal system = tetragonal
- formation energy from raw total energies (meV/atom) = -757
- total moment (μB/cell) = 0.00

Structure (CIF):
```
data_LiPaBi2N
_chemical_formula_sum 'Li2 Pa2 Bi4 N2'
_cell_length_a 3.967
_cell_length_b 3.967
_cell_length_c 16.272
_cell_angle_alpha 90.00
_cell_angle_beta 90.00
_cell_angle_gamma 90.00
_space_group_name_H-M_alt 'P 4/n m m'
_space_group_IT_number 129
loop_
_space_group_symop_operation_xyz
'x,y,z'
'-x,-y,-z'
'-y+1/2,x,z'
'y+1/2,-x,-z'
'-x+1/2,-y+1/2,z'
'x+1/2,y+1/2,-z'
'y,-x+1/2,z'
'-y,x+1/2,-z'
'x+1/2,-y,-z'
'-x+1/2,y,z'
'-y,-x,-z'
'y,x,z'
'-x,y+1/2,-z'
'x,-y+1/2,z'
'y+1/2,x+1/2,-z'
'-y+1/2,-x+1/2,z'
loop_
_atom_site_label
_atom_site_type_symbol
_atom_site_fract_x
_atom_site_fract_y
_atom_site_fract_z
_atom_site_occupancy
Li1 Li 0.250 0.250 0.136 1
Pa1 Pa 0.250 0.250 0.571 1
Bi1 Bi 0.250 0.250 0.307 1
Bi2 Bi 0.250 0.250 0.952 1
N1 N 0.250 0.750 0.500 1
```


(4)
An optimized crystal structure of LiPa2Bi2N2, computed with PBE.

- energy (eV for the cell shown) = -51.65
- crystal system = trigonal
- formation energy from raw total energies (meV/atom) = -904
- total moment (μB/cell) = 0.70

Structure (CIF):
```
data_LiPa2Bi2N2
_chemical_formula_sum 'Li1 Pa2 Bi2 N2'
_cell_length_a 3.8397
_cell_length_b 3.8397
_cell_length_c 13.5517
_cell_angle_alpha 90.00
_cell_angle_beta 90.00
_cell_angle_gamma 120.00
_space_group_name_H-M_alt 'P -3 m 1'
_space_group_IT_number 164
_space_group_name_Hall '-P 3 2"'
loop_
_atom_site_label
_atom_site_type_symbol
_atom_site_fract_x
_atom_site_fract_y
_atom_site_fract_z
_atom_site_occupancy
Li1 Li 0.0000 0.0000 0.0000 1
Pa1 Pa 0.3333 0.6667 0.6054 1
Bi1 Bi 0.0000 0.0000 0.2020 1
N1 N 0.3333 0.6667 0.4369 1
```


(5)
An optimized crystal structure of Li2BiRuN, computed with PBE.

- energy (eV for the cell shown) = -26.55
- crystal system = tetragonal
- formation energy from raw total energies (meV/atom) = -248
- total moment (μB/cell) = 0.00

Structure (CIF):
```
data_Li2BiRuN
_chemical_formula_sum 'Li2 Bi1 Ru1 N1'
_cell_length_a 4.335
_cell_length_b 4.335
_cell_length_c 3.854
_cell_angle_alpha 90.00
_cell_angle_beta 90.00
_cell_angle_gamma 90.00
_space_group_name_H-M_alt 'P 4/m m m'
_space_group_IT_number 123
_space_group_name_Hall '-P 4 2'
loop_
_atom_site_label
_atom_site_type_symbol
_atom_site_fract_x
_atom_site_fract_y
_atom_site_fract_z
_atom_site_occupancy
Li1 Li 0.000 0.500 0.000 1
Bi1 Bi 0.000 0.000 0.500 1
Ru1 Ru 0.500 0.500 0.500 1
N1 N 0.500 0.500 0.000 1
```


(6)
An optimized crystal structure of LiBiRu2N, computed with PBE.

- energy (eV for the cell shown) = -32.27
- crystal system = tetragonal
- formation energy from raw total energies (meV/atom) = 79
- total moment (μB/cell) = 0.00

Structure (CIF):
```
data_LiBiRu2N
_chemical_formula_sum 'Li1 Bi1 Ru2 N1'
_cell_length_a 4.068
_cell_length_b 4.068
_cell_length_c 4.399
_cell_angle_alpha 90.00
_cell_angle_beta 90.00
_cell_angle_gamma 90.00
_space_group_name_H-M_alt 'P 4/m m m'
_space_group_IT_number 123
_space_group_name_Hall '-P 4 2'
loop_
_atom_site_label
_atom_site_type_symbol
_atom_site_fract_x
_atom_site_fract_y
_atom_site_fract_z
_atom_site_occupancy
Li1 Li 0.000 0.000 0.000 1
Bi1 Bi 0.500 0.500 0.000 1
Ru1 Ru 0.000 0.500 0.500 1
N1 N 0.000 0.000 0.500 1
```


(7)
An optimized crystal structure of LiBi2SbN, computed with PBE.

- energy (eV for the cell shown) = -18.42
- crystal system = tetragonal
- formation energy from raw total energies (meV/atom) = 741
- total moment (μB/cell) = 0.00

Structure (CIF):
```
data_LiBi2SbN
_chemical_formula_sum 'Li1 Bi2 Sb1 N1'
_cell_length_a 6.102
_cell_length_b 6.102
_cell_length_c 3.940
_cell_angle_alpha 90.00
_cell_angle_beta 90.00
_cell_angle_gamma 90.00
_space_group_name_H-M_alt 'P 4/m m m'
_space_group_IT_number 123
_space_group_name_Hall '-P 4 2'
loop_
_atom_site_label
_atom_site_type_symbol
_atom_site_fract_x
_atom_site_fract_y
_atom_site_fract_z
_atom_site_occupancy
Li1 Li 0.000 0.000 0.000 1
Bi1 Bi 0.000 0.500 0.500 1
Sb1 Sb 0.500 0.500 0.500 1
N1 N 0.500 0.500 0.000 1
```


(8)
An optimized crystal structure of LiSn2BiN, computed with PBE.

- energy (eV for the cell shown) = -17.00
- crystal system = tetragonal
- formation energy from raw total energies (meV/atom) = 1025
- total moment (μB/cell) = 1.11

Structure (CIF):
```
data_LiSn2BiN
_chemical_formula_sum 'Li1 Sn2 Bi1 N1'
_cell_length_a 6.074
_cell_length_b 6.074
_cell_length_c 4.329
_cell_angle_alpha 90.00
_cell_angle_beta 90.00
_cell_angle_gamma 90.00
_space_group_name_H-M_alt 'P 4/m m m'
_space_group_IT_number 123
_space_group_name_Hall '-P 4 2'
loop_
_atom_site_label
_atom_site_type_symbol
_atom_site_fract_x
_atom_site_fract_y
_atom_site_fract_z
_atom_site_occupancy
Li1 Li 0.000 0.000 0.000 1
Sn1 Sn 0.000 0.500 0.500 1
Bi1 Bi 0.500 0.500 0.500 1
N1 N 0.500 0.500 0.000 1
```


(9)
An optimized crystal structure of Sr2LiBiN, computed with PBE.

- energy (eV for the cell shown) = -20.43
- crystal system = tetragonal
- formation energy from raw total energies (meV/atom) = -589
- total moment (μB/cell) = 0.44

Structure (CIF):
```
data_Sr2LiBiN
_chemical_formula_sum 'Sr2 Li1 Bi1 N1'
_cell_length_a 5.353
_cell_length_b 5.353
_cell_length_c 4.360
_cell_angle_alpha 90.00
_cell_angle_beta 90.00
_cell_angle_gamma 90.00
_space_group_name_H-M_alt 'P 4/m m m'
_space_group_IT_number 123
_space_group_name_Hall '-P 4 2'
loop_
_atom_site_label
_atom_site_type_symbol
_atom_site_fract_x
_atom_site_fract_y
_atom_site_fract_z
_atom_site_occupancy
Sr1 Sr 0.000 0.500 0.000 1
Li1 Li 0.000 0.000 0.500 1
Bi1 Bi 0.500 0.500 0.500 1
N1 N 0.000 0.000 0.000 1
```


(10)
An optimized crystal structure of Li2TcBiN, computed with PBE.

- energy relative to the lowest polymorph listed for this composition (meV per atom) = 0
- energy (eV for the cell shown) = -27.62
- crystal system = tetragonal
- formation energy from raw total energies (meV/atom) = -243
- total moment (μB/cell) = 0.00

Structure (CIF):
```
data_Li2TcBiN
_chemical_formula_sum 'Li2 Tc1 Bi1 N1'
_cell_length_a 4.272
_cell_length_b 4.272
_cell_length_c 3.919
_cell_angle_alpha 90.00
_cell_angle_beta 90.00
_cell_angle_gamma 90.00
_space_group_name_H-M_alt 'P 4/m m m'
_space_group_IT_number 123
_space_group_name_Hall '-P 4 2'
loop_
_atom_site_label
_atom_site_type_symbol
_atom_site_fract_x
_atom_site_fract_y
_atom_site_fract_z
_atom_site_occupancy
Li1 Li 0.000 0.500 0.000 1
Tc1 Tc 0.000 0.000 0.500 1
Bi1 Bi 0.500 0.500 0.500 1
N1 N 0.000 0.000 0.000 1
```


Question: Number 9 is which compound?
Answer: Sr2LiBiN


Question: Which of these has the highest energy?
Answer: LiSn2BiN


Copy entry 8 word for word.
An optimized crystal structure of LiSn2BiN, computed with PBE.

- energy (eV for the cell shown) = -17.00
- crystal system = tetragonal
- formation energy from raw total energies (meV/atom) = 1025
- total moment (μB/cell) = 1.11

Structure (CIF):
```
data_LiSn2BiN
_chemical_formula_sum 'Li1 Sn2 Bi1 N1'
_cell_length_a 6.074
_cell_length_b 6.074
_cell_length_c 4.329
_cell_angle_alpha 90.00
_cell_angle_beta 90.00
_cell_angle_gamma 90.00
_space_group_name_H-M_alt 'P 4/m m m'
_space_group_IT_number 123
_space_group_name_Hall '-P 4 2'
loop_
_atom_site_label
_atom_site_type_symbol
_atom_site_fract_x
_atom_site_fract_y
_atom_site_fract_z
_atom_site_occupancy
Li1 Li 0.000 0.000 0.000 1
Sn1 Sn 0.000 0.500 0.500 1
Bi1 Bi 0.500 0.500 0.500 1
N1 N 0.500 0.500 0.000 1
```